1:
A relaxed structure of Mn3NbP, computed with GGA-PBE.

Cell and atoms, written as CIF:
```
data_Mn3NbP
_chemical_formula_sum 'Mn3 Nb1 P1'
_cell_length_a 4.094
_cell_length_b 4.094
_cell_length_c 4.094
_cell_angle_alpha 90.00
_cell_angle_beta 90.00
_cell_angle_gamma 90.00
_space_group_name_H-M_alt 'P m -3 m'
_space_group_IT_number 221
_space_group_name_Hall '-P 4 2 3'
loop_
_atom_site_label
_atom_site_type_symbol
_atom_site_fract_x
_atom_site_fract_y
_atom_site_fract_z
Mn1 Mn 0.000 0.000 0.500
Nb1 Nb 0.500 0.500 0.500
P1 P 0.000 0.000 0.000
```

=====

2:
A relaxed structure of Mn3NbP, computed with GGA-PBE.

Cell and atoms, written as CIF:
```
data_Mn3NbP
_chemical_formula_sum 'Mn3 Nb1 P1'
_cell_length_a 4.664
_cell_length_b 4.664
_cell_length_c 4.664
_cell_angle_alpha 90.00
_cell_angle_beta 90.00
_cell_angle_gamma 90.00
_space_group_name_H-M_alt 'P m -3 m'
_space_group_IT_number 221
_space_group_name_Hall '-P 4 2 3'
loop_
_atom_site_label
_atom_site_type_symbol
_atom_site_fract_x
_atom_site_fract_y
_atom_site_fract_z
Mn1 Mn 0.000 0.000 0.500
Nb1 Nb 0.000 0.000 0.000
P1 P 0.500 0.500 0.500
```

=====

1 is preferred energetically. Next in line: 1279 meV per atom higher.

=====

1:
A relaxed structure of MnNbPS2, computed with GGA-PBE.

Cell and atoms, written as CIF:
```
data_MnNbPS2
_chemical_formula_sum 'Mn1 Nb1 P1 S2'
_cell_length_a 4.389
_cell_length_b 4.389
_cell_length_c 4.450
_cell_angle_alpha 90.00
_cell_angle_beta 90.00
_cell_angle_gamma 90.00
_space_group_name_H-M_alt 'P 4/m m m'
_space_group_IT_number 123
_space_group_name_Hall '-P 4 2'
loop_
_atom_site_label
_atom_site_type_symbol
_atom_site_fract_x
_atom_site_fract_y
_atom_site_fract_z
Mn1 Mn 0.000 0.000 0.000
Nb1 Nb 0.500 0.500 0.500
P1 P 0.000 0.000 0.500
S1 S 0.000 0.500 0.000
```

=====

2:
A relaxed structure of MnNbPS2, computed with GGA-PBE.

Cell and atoms, written as CIF:
```
data_MnNbPS2
_chemical_formula_sum 'Mn1 Nb1 P1 S2'
_cell_length_a 4.734
_cell_length_b 4.734
_cell_length_c 4.996
_cell_angle_alpha 90.00
_cell_angle_beta 90.00
_cell_angle_gamma 90.00
_space_group_name_H-M_alt 'P 4/m m m'
_space_group_IT_number 123
_space_group_name_Hall '-P 4 2'
loop_
_atom_site_label
_atom_site_type_symbol
_atom_site_fract_x
_atom_site_fract_y
_atom_site_fract_z
Mn1 Mn 0.000 0.000 0.000
Nb1 Nb 0.500 0.500 0.500
P1 P 0.500 0.500 0.000
S1 S 0.000 0.500 0.500
```

=====

2 is preferred energetically. Next in line: 241 meV per atom higher.

=====

1:
A relaxed structure of Pa2MnNb, computed with GGA-PBE.

Cell and atoms, written as CIF:
```
data_Pa2MnNb
_chemical_formula_sum 'Pa6 Mn3 Nb3'
_cell_length_a 4.6201
_cell_length_b 4.6201
_cell_length_c 13.3304
_cell_angle_alpha 90.00
_cell_angle_beta 90.00
_cell_angle_gamma 120.00
_space_group_name_H-M_alt 'R -3 m'
_space_group_IT_number 166
_space_group_name_Hall '-R 3 2"'
loop_
_atom_site_label
_atom_site_type_symbol
_atom_site_fract_x
_atom_site_fract_y
_atom_site_fract_z
Pa1 Pa 0.0000 0.0000 0.2450
Mn1 Mn 0.0000 0.0000 0.5000
Nb1 Nb 0.0000 0.0000 0.0000
```

=====

2:
A relaxed structure of Pa2MnNb, computed with GGA-PBE.

Cell and atoms, written as CIF:
```
data_Pa2MnNb
_chemical_formula_sum 'Pa2 Mn1 Nb1'
_cell_length_a 3.490
_cell_length_b 3.490
_cell_length_c 6.638
_cell_angle_alpha 90.00
_cell_angle_beta 90.00
_cell_angle_gamma 90.00
_space_group_name_H-M_alt 'P 4/m m m'
_space_group_IT_number 123
_space_group_name_Hall '-P 4 2'
loop_
_atom_site_label
_atom_site_type_symbol
_atom_site_fract_x
_atom_site_fract_y
_atom_site_fract_z
Pa1 Pa 0.000 0.000 0.219
Mn1 Mn 0.500 0.500 0.000
Nb1 Nb 0.500 0.500 0.500
```

=====

2 is preferred energetically. Next in line: 43 meV per atom higher.

=====

1:
A relaxed structure of MnNbPb, computed with GGA-PBE.

Cell and atoms, written as CIF:
```
data_MnNbPb
_chemical_formula_sum 'Mn2 Nb2 Pb2'
_cell_length_a 6.073
_cell_length_b 3.208
_cell_length_c 6.082
_cell_angle_alpha 90.00
_cell_angle_beta 104.62
_cell_angle_gamma 90.00
_space_group_name_H-M_alt 'P 1 m 1'
_space_group_IT_number 6
_space_group_name_Hall 'P -2y'
loop_
_atom_site_label
_atom_site_type_symbol
_atom_site_fract_x
_atom_site_fract_y
_atom_site_fract_z
Mn1 Mn 0.000 0.000 0.000
Mn2 Mn 0.491 0.000 0.997
Nb1 Nb 0.150 0.500 0.775
Nb2 Nb 0.660 0.500 0.784
Pb1 Pb 0.331 0.000 0.396
Pb2 Pb 0.805 0.500 0.316
```

=====

2:
A relaxed structure of MnNbPb, computed with GGA-PBE.

Cell and atoms, written as CIF:
```
data_MnNbPb
_chemical_formula_sum 'Mn2 Nb2 Pb2'
_cell_length_a 3.138
_cell_length_b 4.945
_cell_length_c 8.029
_cell_angle_alpha 101.13
_cell_angle_beta 91.08
_cell_angle_gamma 103.78
_space_group_name_H-M_alt 'P -1'
_space_group_IT_number 2
_space_group_name_Hall '-P 1'
loop_
_atom_site_label
_atom_site_type_symbol
_atom_site_fract_x
_atom_site_fract_y
_atom_site_fract_z
Mn1 Mn 0.158 0.277 0.459
Nb1 Nb 0.359 0.805 0.326
Pb1 Pb 0.320 0.710 0.858
```

=====

2 is preferred energetically. Next in line: 57 meV per atom higher.